No. 1
This record from the Alexandria database describes a relaxed structure of Pm3Hg2O. The functional is PBE.

Computed properties:
* energy relative to the elements, uncorrected: -26.6 kcal/mol of atoms
* N(E_F): 0.73 states/eV per atom
* theoretical density: 9.01 g cm⁻³
* DFT total energy: -4.455 eV/atom

Unit cell a=6.873 b=6.873 c=7.681 alpha=102.65 beta=102.65 gamma=63.58
Atoms (fractional coordinates):
Pm (0.101, 0.899, 0.750)
Pm (0.296, 0.439, 0.034)
Pm (0.439, 0.296, 0.534)
Pm (0.561, 0.704, 0.466)
Pm (0.704, 0.561, 0.966)
Pm (0.899, 0.101, 0.250)
Hg (0.001, 0.351, 0.647)
Hg (0.351, 0.001, 0.147)
Hg (0.649, 0.999, 0.853)
Hg (0.999, 0.649, 0.353)
O (0.415, 0.585, 0.750)
O (0.585, 0.415, 0.250)

No. 2
This record from the Alexandria database describes a relaxed structure of TlW2Cl. The functional is PBE.

Computed properties:
* energy relative to the elements, uncorrected: 28.6 kcal/mol of atoms
* N(E_F): 0.33 states/eV per atom
* offset from the most stable computed form: 3.797 eV per formula unit
* theoretical density: 13.66 g cm⁻³
* DFT total energy: -6.289 eV/atom

Unit cell a=4.888 b=4.888 c=4.888 alpha=125.98 beta=125.98 gamma=79.92
Atoms (fractional coordinates):
Tl (0.000, 0.000, 0.000)
W (0.250, 0.750, 0.500)
W (0.500, 0.500, 0.000)
Cl (0.750, 0.250, 0.500)

No. 3
This record from the Alexandria database describes a relaxed structure of SrCdCl2. The functional is PBE.

Computed properties:
* energy relative to the elements, uncorrected: -35.5 kcal/mol of atoms
* N(E_F): 0.13 states/eV per atom
* offset from the most stable computed form: 0.508 eV per formula unit
* theoretical density: 3.28 g cm⁻³
* DFT total energy: -3.113 eV/atom

Unit cell a=3.680 b=3.681 c=10.118 alpha=90.00 beta=90.64 gamma=90.00
Atoms (fractional coordinates):
Sr (0.000, 0.000, 0.000)
Cd (0.000, 0.000, 0.500)
Cl (0.496, 0.500, 0.842)
Cl (0.504, 0.500, 0.158)

No. 4
This record from the Alexandria database describes a relaxed structure of Ca2CuGe2Pd5. The functional is PBE.

Computed properties:
* DFT formation energy: -555.5 meV per atom
* N(E_F): 0.38 states/eV per atom
* theoretical density: 7.65 g cm⁻³
* DFT total energy: -4.885 eV/atom

Unit cell a=10.097 b=10.097 c=3.497 alpha=90.00 beta=90.00 gamma=90.00
Atoms (fractional coordinates):
Ca (0.173, 0.327, 0.000)
Ca (0.327, 0.827, 0.000)
Ca (0.673, 0.173, 0.000)
Ca (0.827, 0.673, 0.000)
Cu (0.000, 0.000, 0.000)
Cu (0.500, 0.500, 0.000)
Ge (0.129, 0.629, 0.000)
Ge (0.371, 0.129, 0.000)
Ge (0.629, 0.871, 0.000)
Ge (0.871, 0.371, 0.000)
Pd (0.000, 0.500, 0.500)
Pd (0.059, 0.802, 0.500)
Pd (0.198, 0.059, 0.500)
Pd (0.302, 0.559, 0.500)
Pd (0.441, 0.302, 0.500)
Pd (0.500, 0.000, 0.500)
Pd (0.559, 0.698, 0.500)
Pd (0.698, 0.441, 0.500)
Pd (0.802, 0.941, 0.500)
Pd (0.941, 0.198, 0.500)

No. 5
This record from the Alexandria database describes a relaxed structure of K2AcYS4. The functional is PBE.

Computed properties:
* energy relative to the elements, uncorrected: -43.1 kcal/mol of atoms
* N(E_F): 0.00 states/eV per atom
* theoretical density: 3.75 g cm⁻³
* DFT total energy: -5.531 eV/atom

Unit cell a=7.364 b=4.246 c=7.799 alpha=90.00 beta=108.25 gamma=90.00
Atoms (fractional coordinates):
K (0.000, 0.000, 0.000)
K (0.500, 0.500, 0.000)
Ac (0.000, 0.500, 0.500)
Y (0.500, 0.000, 0.500)
S (0.255, 0.000, 0.711)
S (0.281, 0.500, 0.296)
S (0.719, 0.500, 0.704)
S (0.745, 0.000, 0.289)

No. 6
This record from the Alexandria database describes a relaxed structure of GdHoGaGe. The functional is PBE.

Computed properties:
* DFT formation energy: -589.8 meV per atom
* N(E_F): 0.55 states/eV per atom
* theoretical density: 8.37 g cm⁻³
* DFT total energy: -7.166 eV/atom

Unit cell a=5.070 b=5.070 c=5.070 alpha=60.00 beta=60.00 gamma=60.00
Atoms (fractional coordinates):
Gd (0.000, 0.000, 0.000)
Ho (0.500, 0.500, 0.500)
Ga (0.250, 0.250, 0.250)
Ge (0.750, 0.750, 0.750)

No. 7
This record from the Alexandria database describes a relaxed structure of InP2SeO. The functional is PBE.

Computed properties:
* energy relative to the elements, uncorrected: 9.0 kcal/mol of atoms
* N(E_F): 0.88 states/eV per atom
* offset from the most stable computed form: 0.000 eV per formula unit
* theoretical density: 4.86 g cm⁻³
* DFT total energy: -4.010 eV/atom

Unit cell a=4.938 b=4.938 c=3.807 alpha=90.00 beta=90.00 gamma=90.00
Atoms (fractional coordinates):
In (0.000, 0.000, 0.000)
P (0.000, 0.500, 0.500)
P (0.500, 0.000, 0.500)
Se (0.500, 0.500, 0.500)
O (0.500, 0.500, 0.000)

No. 8
This record from the Alexandria database describes a relaxed structure of YTePd2Br. The functional is PBE.

Computed properties:
* energy relative to the elements, uncorrected: 1.1 kcal/mol of atoms
* N(E_F): 0.31 states/eV per atom
* theoretical density: 5.84 g cm⁻³
* DFT total energy: -4.287 eV/atom

Unit cell a=4.636 b=4.636 c=6.741 alpha=90.00 beta=90.00 gamma=90.00
Atoms (fractional coordinates):
Y (0.000, 0.000, 0.000)
Te (0.500, 0.500, 0.000)
Pd (0.000, 0.500, 0.500)
Pd (0.500, 0.000, 0.500)
Br (0.500, 0.500, 0.500)